(1)
Density functional theory data (PBE) for NaPuC2O8 after structural relaxation.

As for the uncorrected formation energy: -1701 meV per atom.

The space group is C2/m (No. 12) and the conventional cell measures 8.535, 5.322 and 7.533 Å, with angles of 90.00, 99.41 and 90.00 degrees. The asymmetric unit holds Na at (0.000, 0.000, 0.000), Pu at (0.000, 0.000, 0.500), C at (0.103, 0.500, 0.785), O at (0.034, 0.289, 0.722), O at (0.205, 0.000, 0.488) and O at (0.221, 0.500, 0.907).



(2)
Density functional theory data (PBE) for LiW2Cl after structural relaxation.

As for the uncorrected formation energy: 1057 meV per atom.

The space group is Cmmm (No. 65) and the conventional cell measures 5.115, 9.579 and 2.741 Å, with angles of 90.00, 90.00 and 90.00 degrees. The asymmetric unit holds Li at (0.000, 0.000, 0.000), W at (0.250, 0.250, 0.500) and Cl at (0.000, 0.500, 0.000).



(3)
Density functional theory data (PBE) for FeRh3I after structural relaxation.

As for the uncorrected formation energy: 1085 meV per atom.

The space group is Pm-3m (No. 221) and the conventional cell measures 4.531, 4.531 and 4.531 Å, with angles of 90.00, 90.00 and 90.00 degrees. The asymmetric unit holds Fe at (0.000, 0.000, 0.000), Rh at (0.000, 0.000, 0.500) and I at (0.500, 0.500, 0.500).



(4)
Density functional theory data (PBE) for TaCo5W after structural relaxation.

As for the formation enthalpy at 0 K: 0.232 eV per atom.

The space group is P4/mmm (No. 123) and the conventional cell measures 4.163, 4.163 and 5.390 Å, with angles of 90.00, 90.00 and 90.00 degrees. The asymmetric unit holds Ta at (0.000, 0.000, 0.000), Co at (0.000, 0.500, 0.262), Co at (0.500, 0.500, 0.000) and W at (0.500, 0.500, 0.500).



(5)
Density functional theory data (PBE) for K2AgAs2 after structural relaxation.

As for the formation enthalpy at 0 K: -0.260 eV per atom.

The space group is P4/mbm (No. 127) and the conventional cell measures 7.017, 7.017 and 5.424 Å, with angles of 90.00, 90.00 and 90.00 degrees. The asymmetric unit holds K at (0.172, 0.328, 0.000), Ag at (0.000, 0.000, 0.500) and As at (0.128, 0.628, 0.500).



(6)
Density functional theory data (PBE) for La3Ho2Er after structural relaxation.

As for the formation enthalpy at 0 K: 0.332 eV per atom.

The space group is Immm (No. 71) and the conventional cell measures 3.472, 6.020 and 19.703 Å, with angles of 90.00, 90.00 and 90.00 degrees. The asymmetric unit holds La at (0.000, 0.000, 0.000), La at (0.000, 0.500, 0.187), Ho at (0.000, 0.500, 0.363) and Er at (0.000, 0.500, 0.000).



(7)
Density functional theory data (PBE) for DyEr7Sc2 after structural relaxation.

As for the formation enthalpy at 0 K: 0.042 eV per atom.

The space group is C2/m (No. 12) and the conventional cell measures 17.642, 5.279 and 6.877 Å, with angles of 90.00, 112.60 and 90.00 degrees. The asymmetric unit holds Dy at (0.000, 0.000, 0.000), Er at (0.000, 0.000, 0.500), Er at (0.112, 0.500, 0.862), Er at (0.113, 0.500, 0.365), Er at (0.202, 0.000, 0.203) and Sc at (0.199, 0.000, 0.700).



Repeat the second record exactly.
Density functional theory data (PBE) for LiW2Cl after structural relaxation.

As for the uncorrected formation energy: 1057 meV per atom.

The space group is Cmmm (No. 65) and the conventional cell measures 5.115, 9.579 and 2.741 Å, with angles of 90.00, 90.00 and 90.00 degrees. The asymmetric unit holds Li at (0.000, 0.000, 0.000), W at (0.250, 0.250, 0.500) and Cl at (0.000, 0.500, 0.000).